# 1
The following is a DFT calculation (PBE) of LaMg2Be after structural relaxation.

a b c (Å): 6.4913 6.4913 3.1481
angles (deg): 102.61 102.61 124.85
Last column: nearest neighbours and their distance in Å.
Fractional positions:
La 0.0000 0.0000 0.0000  4 Be 3.00-3.17, 2 La 3.15, 4 Mg 3.28
Mg 0.0000 0.5000 0.5000  6 Mg 3.00-3.17, 2 La 3.28, 2 Be 3.28
Mg 0.5000 0.0000 0.5000  6 Mg 3.00-3.17, 2 La 3.28, 2 Be 3.28
Be 0.5000 0.5000 0.0000  4 La 3.00-3.17, 2 Be 3.15, 4 Mg 3.28

As for the formation enthalpy at 0 K: 0.3588 eV per atom. The calculated total energy comes out at -2.602 eV per atom. The space-group type is C2/m. The value obtained for the density is 3.40 g/cm3.

---

# 2
The following is a DFT calculation (PBE) of LaMgBe2 after structural relaxation.

a b c (Å): 3.9467 3.9467 6.4666
angles (deg): 107.73 107.73 59.75
Last column: nearest neighbours and their distance in Å.
Fractional positions:
La 0.0000 0.0000 0.0000  6 Be 3.04-3.08, 1 Mg 3.34
Mg 0.1834 0.1834 0.5519  6 Be 2.61-2.64
Be 0.4468 0.4468 0.3416  3 Be 2.27-2.28
Be 0.7772 0.7772 0.3338  3 Be 2.27-2.28

As for the formation enthalpy at 0 K: 0.1503 eV per atom. The calculated total energy comes out at -3.343 eV per atom. The space-group type is Cm. The value obtained for the density is 3.69 g/cm3.

---

# 3
The following is a DFT calculation (PBE) of LaMgBe2 after structural relaxation.

a b c (Å): 4.7437 4.7437 4.7437
angles (deg): 119.95 119.95 90.09
Last column: nearest neighbours and their distance in Å.
Fractional positions:
La 0.0000 0.0000 0.0000  4 Be 2.91, 4 Mg 2.91
Mg 0.2500 0.7500 0.5000  4 La 2.91, 4 Be 2.91
Be 0.5000 0.5000 0.0000  4 Be 2.91, 4 Mg 2.91
Be 0.7500 0.2500 0.5000  4 La 2.91, 4 Be 2.91

As for the formation enthalpy at 0 K: 0.3544 eV per atom. The calculated total energy comes out at -3.139 eV per atom. The space-group type is I-4m2. The value obtained for the density is 3.98 g/cm3.

---

# 4
The following is a DFT calculation (PBE) of LaMg4Be after structural relaxation.

a b c (Å): 5.9040 5.9040 5.9040
angles (deg): 60.00 60.00 60.00
Last column: nearest neighbours and their distance in Å.
Fractional positions:
La 0.0000 0.0000 0.0000  12 Mg 3.46, 4 Be 3.62
Mg 0.1270 0.6243 0.6243  6 Mg 2.94-2.97
Mg 0.6243 0.1270 0.6243  6 Mg 2.94-2.97
Mg 0.6243 0.6243 0.1270  6 Mg 2.94-2.97
Mg 0.6243 0.6243 0.6243  6 Mg 2.94-2.97
Be 0.2500 0.2500 0.2500  12 Mg 3.46, 4 La 3.62

As for the formation enthalpy at 0 K: 0.3230 eV per atom. The calculated total energy comes out at -2.182 eV per atom. The space-group type is F-43m. The value obtained for the density is 2.80 g/cm3.

---

# 5
The following is a DFT calculation (PBE) of LaMg2Be after structural relaxation.

a b c (Å): 4.3726 4.3726 5.0311
angles (deg): 90.00 90.00 90.00
Last column: nearest neighbours and their distance in Å.
Fractional positions:
La 0.0000 0.0000 0.0000  4 Be 3.09, 8 Mg 3.33
Mg 0.0000 0.5000 0.5000  4 Mg 3.09, 4 Be 3.33, 4 La 3.33
Mg 0.5000 0.0000 0.5000  4 Mg 3.09, 4 Be 3.33, 4 La 3.33
Be 0.5000 0.5000 0.0000  4 La 3.09, 8 Mg 3.33

As for the formation enthalpy at 0 K: 0.2297 eV per atom. The calculated total energy comes out at -2.731 eV per atom. The space-group type is P4/mmm. The value obtained for the density is 3.39 g/cm3.

---

# 6
The following is a DFT calculation (PBE) of La2MgBe2 after structural relaxation.

a b c (Å): 8.0527 8.0527 3.6906
angles (deg): 90.00 90.00 90.00
Last column: nearest neighbours and their distance in Å.
Fractional positions:
La 0.1871 0.3129 0.0000  6 Be 3.04-3.06
La 0.3129 0.8129 0.0000  6 Be 3.04-3.06
La 0.6871 0.1871 0.0000  6 Be 3.04-3.06
La 0.8129 0.6871 0.0000  6 Be 3.04-3.06
Mg 0.0000 0.0000 0.5000  4 Be 3.33, 8 La 3.47, 2 Mg 3.69
Mg 0.5000 0.5000 0.5000  4 Be 3.33, 8 La 3.47, 2 Mg 3.69
Be 0.0988 0.5988 0.5000  1 Be 2.25
Be 0.4012 0.0988 0.5000  1 Be 2.25
Be 0.5988 0.9012 0.5000  1 Be 2.25
Be 0.9012 0.4012 0.5000  1 Be 2.25

The calculation puts the relative energy among the computed polymorphs at 0 meV per atom. As for the formation enthalpy at 0 K: 0.1524 eV per atom. The calculated total energy comes out at -3.628 eV per atom. The space-group type is P4/mbm. The value obtained for the density is 4.44 g/cm3.